MnZnSiO4: relaxed, PBE with a Hubbard U.

Computed properties:
VASP energy: -97.15 eV for the cell shown
Symmetry: Cmcm (63)
Density of states at the Fermi level: 0.0 states/eV/f.u.

CIF file:
```
data_MnZnSiO4
_symmetry_space_group_name_H-M 'P 1'
_symmetry_Int_Tables_number 1
_symmetry_space_group_name_Hall 'P 1'
_cell_length_a 5.2875
_cell_length_b 5.2875
_cell_length_c 6.2128
_cell_angle_alpha 90.00
_cell_angle_beta 90.00
_cell_angle_gamma 113.49
loop_
_atom_site_label
_atom_site_type_symbol
_atom_site_fract_x
_atom_site_fract_y
_atom_site_fract_z
_atom_site_occupancy
Zn1 Zn 0.1630 0.8370 0.7500 1
Mn1 Mn 0.5000 0.5000 0.5000 1
Mn2 Mn 0.5000 0.5000 0.0000 1
Si1 Si 0.1449 0.8551 0.2500 1
O1 O 0.2535 0.7465 0.0357 1
Zn2 Zn 0.8370 0.1630 0.2500 1
O2 O 0.7465 0.2535 0.9643 1
O3 O 0.1988 0.2499 0.7500 1
O4 O 0.2499 0.1988 0.2500 1
Si2 Si 0.8551 0.1449 0.7500 1
O5 O 0.7465 0.2535 0.5357 1
O6 O 0.8012 0.7501 0.2500 1
O7 O 0.7501 0.8012 0.7500 1
O8 O 0.2535 0.7465 0.4643 1
```